a) ! Ba2NiO, relaxed, DFT PBE with a Hubbard U; values from VASP
&SYSTEM
  ibrav = 0, nat = 4, ntyp = 3
/
ATOMIC_SPECIES
Ba 137.33 Ba.upf
O 16.00 O.upf
Ni 58.69 Ni.upf
ATOMIC_POSITIONS crystal
Ba 0.750 0.750 0.750
O 0.000 0.000 0.000
Ni 0.500 0.500 0.500
Ba 0.250 0.250 0.250
CELL_PARAMETERS angstrom
1.478 -1.307 4.665
0.655 3.563 3.541
-3.244 0.347 3.875
! - V: 92 Å³ per cell

***

b) ! Ba2NiO, relaxed, DFT PBE with a Hubbard U; values from VASP
&SYSTEM
  ibrav = 0, nat = 4, ntyp = 3
/
ATOMIC_SPECIES
O 16.00 O.upf
Ba 137.33 Ba.upf
Ni 58.69 Ni.upf
ATOMIC_POSITIONS crystal
O 0.500 0.500 0.500
Ba 0.105 0.105 0.684
Ba 0.895 0.895 0.316
Ni 0.000 0.000 0.000
CELL_PARAMETERS angstrom
-1.175 3.307 -1.625
-3.758 0.580 -0.705
-2.553 4.750 6.909
! - V: 110 Å³ per cell

***

c) ! Ba2NiO, relaxed, DFT PBE with a Hubbard U; values from VASP
&SYSTEM
  ibrav = 0, nat = 8, ntyp = 3
/
ATOMIC_SPECIES
O 16.00 O.upf
Ba 137.33 Ba.upf
Ni 58.69 Ni.upf
ATOMIC_POSITIONS crystal
O 0.500 0.500 0.000
Ba 0.571 0.125 0.250
Ba 0.375 0.429 0.750
Ba 0.179 0.625 0.250
Ba 0.875 0.821 0.750
O 0.250 0.750 0.500
Ni 0.000 0.000 0.000
Ni 0.750 0.250 0.500
CELL_PARAMETERS angstrom
-5.592 -3.272 -3.270
-1.622 -3.418 6.193
-6.303 0.080 2.645
! - V: 238 Å³ per cell

***

Ordering by calculated energy gives the sequence c), a), b), with the first entry being the most stable.